No. 1
A crystal of Y2TePt2 relaxed with PBEsol. Source: Alexandria via LeMat-Bulk, functional SCAN.

- Total energy: -48.04 eV/atom
- DOS at the Fermi energy: 2.16 states/eV/f.u.
- Space-group type: P4/mbm (127)
- Volume: 21.7 A^3/atom

Cell: 3.721 7.644 7.644 Å, 90.00 90.00 90.00°
Fractional positions:
Y: 0.500 0.171 0.671
Y: 0.500 0.671 0.829
Y: 0.500 0.829 0.329
Y: 0.500 0.329 0.171
Te: 0.000 0.000 0.000
Te: 0.000 0.500 0.500
Pt: 0.000 0.374 0.874
Pt: 0.000 0.874 0.626
Pt: 0.000 0.626 0.126
Pt: 0.000 0.126 0.374

=====

No. 2
A crystal of BePt2Se relaxed with PBEsol. Source: Alexandria via LeMat-Bulk, functional SCAN.

- DOS at the Fermi energy: 2.42 states/eV/f.u.
- Space-group type: Fm-3m (225)
- Volume: 14.2 A^3/atom
- Excess energy over the best structure of this formula in the dataset: 0.87 eV per formula unit

Cell: 4.316 4.316 4.316 Å, 60.00 60.00 60.00°
Fractional positions:
Be: 0.000 0.000 0.000
Se: 0.500 0.500 0.500
Pt: 0.250 0.250 0.250
Pt: 0.750 0.750 0.750

=====

No. 3
A crystal of SbAs2W relaxed with PBEsol. Source: Alexandria via LeMat-Bulk, functional SCAN.

- Total energy: -36.22 eV/atom
- DOS at the Fermi energy: 2.08 states/eV/f.u.
- Space-group type: Cmm2 (35)
- Volume: 19.3 A^3/atom

Cell: 2.920 2.920 9.583 Å, 90.00 90.00 109.18°
Fractional positions:
Sb: 0.000 0.000 0.478
As: 0.000 0.000 0.033
As: 0.500 0.500 0.757
W: 0.500 0.500 0.232

=====

No. 4
A crystal of LuHfRu2 relaxed with PBEsol. Source: Alexandria via LeMat-Bulk, functional SCAN.

- Total energy: -47.74 eV/atom
- DOS at the Fermi energy: 1.40 states/eV/f.u.
- Space-group type: Fm-3m (225)
- Volume: 16.9 A^3/atom

Cell: 4.570 4.570 4.570 Å, 60.00 60.00 60.00°
Fractional positions:
Ru: 0.250 0.250 0.250
Ru: 0.750 0.750 0.750
Lu: 0.000 0.000 0.000
Hf: 0.500 0.500 0.500

=====

No. 5
A crystal of CaMo2Br relaxed with PBEsol. Source: Alexandria via LeMat-Bulk, functional SCAN.

- DOS at the Fermi energy: 3.80 states/eV/f.u.
- Space-group type: I-4m2 (119)
- Volume: 18.0 A^3/atom
- Excess energy over the best structure of this formula in the dataset: 1.36 eV per formula unit

Cell: 4.660 4.676 4.660 Å, 60.11 90.00 119.89°
Fractional positions:
Mo: 0.000 0.000 0.000
Mo: 0.250 0.500 0.250
Ca: 0.750 0.500 0.750
Br: 0.500 0.000 0.500

=====

No. 6
A crystal of KHC2O4 relaxed with PBEsol. Source: Alexandria via LeMat-Bulk, functional SCAN.

- Total energy: -8.52 eV/atom
- DOS at the Fermi energy: 0.00 states/eV/f.u.
- Space-group type: P2_1/c (14)
- Volume: 13.0 A^3/atom

Cell: 4.316 7.711 12.817 Å, 90.00 90.00 103.53°
Fractional positions:
C: 0.184 0.284 0.654
C: 0.816 0.216 0.154
C: 0.816 0.716 0.346
C: 0.184 0.784 0.846
C: 0.894 0.125 0.673
C: 0.106 0.375 0.173
C: 0.106 0.875 0.327
C: 0.894 0.625 0.827
H: 0.624 0.965 0.775
H: 0.376 0.535 0.275
H: 0.376 0.035 0.225
H: 0.624 0.465 0.725
K: 0.315 0.225 0.934
K: 0.685 0.275 0.434
K: 0.685 0.775 0.066
K: 0.315 0.725 0.566
O: 0.212 0.355 0.566
O: 0.788 0.145 0.066
O: 0.788 0.645 0.434
O: 0.212 0.855 0.934
O: 0.372 0.326 0.732
O: 0.628 0.174 0.232
O: 0.628 0.674 0.268
O: 0.372 0.826 0.768
O: 0.733 0.055 0.598
O: 0.267 0.445 0.098
O: 0.267 0.945 0.402
O: 0.733 0.555 0.902
O: 0.841 0.078 0.771
O: 0.159 0.422 0.271
O: 0.159 0.922 0.229
O: 0.841 0.578 0.729

=====

No. 7
A crystal of LiAl2Cd relaxed with PBEsol. Source: Alexandria via LeMat-Bulk, functional SCAN.

- Total energy: -12.16 eV/atom
- DOS at the Fermi energy: 1.13 states/eV/f.u.
- Space-group type: Pmm2 (25)
- Volume: 17.2 A^3/atom

Cell: 3.033 3.977 5.709 Å, 90.00 90.00 90.00°
Fractional positions:
Cd: 0.500 0.000 0.511
Al: 0.500 0.000 0.006
Al: 0.000 0.500 0.232
Li: 0.000 0.500 0.752

=====

No. 8
A crystal of NdMg3 relaxed with PBEsol. Source: Alexandria via LeMat-Bulk, functional SCAN.

- Total energy: -14.76 eV/atom
- DOS at the Fermi energy: 1.89 states/eV/f.u.
- Space-group type: Fm-3m (225)
- Volume: 24.7 A^3/atom

Cell: 5.191 5.191 5.191 Å, 60.00 60.00 60.00°
Fractional positions:
Mg: 0.750 0.750 0.750
Mg: 0.500 0.500 0.500
Mg: 0.250 0.250 0.250
Nd: 0.000 0.000 0.000

=====

- The lowest volume belongs to which entry?
  KHC2O4